Entry 1:
# NaCr3Ag

NaCr3Ag after structural relaxation (PBE, Alexandria).

Results
Polymorph energy (0 for the lowest one) ... 0.00 eV per formula unit
Formation energy from the elements ... 1.353 eV/atom

Cell: 5.1572 5.1572 5.1572 Å, 90.00 90.00 90.00°
Closest atoms and distances in Å follow each position.
Fractional positions:
Na (0.0000, 0.0000, 0.0000)  12 Cr 3.65
Cr (0.0000, 0.5000, 0.5000)  2 Ag 2.58
Cr (0.5000, 0.0000, 0.5000)  2 Ag 2.58
Cr (0.5000, 0.5000, 0.0000)  2 Ag 2.58
Ag (0.5000, 0.5000, 0.5000)  6 Cr 2.58

=====

Entry 2:
# NaCrAg3

NaCrAg3 after structural relaxation (PBE, Alexandria).

Results
Polymorph energy (0 for the lowest one) ... 0.00 eV per formula unit
Formation energy from the elements ... 0.695 eV/atom

Cell: 5.1288 5.1288 5.1288 Å, 90.00 90.00 90.00°
Closest atoms and distances in Å follow each position.
Fractional positions:
Na (0.0000, 0.0000, 0.0000)  12 Ag 3.63
Cr (0.5000, 0.5000, 0.5000)  6 Ag 2.56
Ag (0.0000, 0.5000, 0.5000)  2 Cr 2.56
Ag (0.5000, 0.0000, 0.5000)  2 Cr 2.56
Ag (0.5000, 0.5000, 0.0000)  2 Cr 2.56

=====

Entry 3:
# NaNbCr2Ag

NaNbCr2Ag after structural relaxation (PBE, Alexandria).

Results
Formation energy from the elements ... 1.458 eV/atom

Cell: 4.6627 4.6627 5.4695 Å, 90.00 90.00 90.00°
Closest atoms and distances in Å follow each position.
Fractional positions:
Na (0.0000, 0.0000, 0.0000)  2 Nb 2.73
Nb (0.0000, 0.0000, 0.5000)  4 Cr 2.33
Cr (0.0000, 0.5000, 0.5000)  2 Nb 2.33
Cr (0.5000, 0.0000, 0.5000)  2 Nb 2.33
Ag (0.5000, 0.5000, 0.0000)  4 Na 3.30, 8 Cr 3.59